Entry 1:
Compound: Ca3In3Ag2
Source: the Alexandria database
Functional: GGA-PBE
Structure: optimized geometry

As for the raw total energy: -2.848 eV per atom. The calculation puts the energy above the most stable polymorph in this dataset at 22 meV/atom. The mass density comes out at 5.2 g/cm3. The value obtained for the density of states at the Fermi level is 22.81 states/eV/cell. As for the volume: 864.1 Å³ per cell. Its crystal system is orthorhombic.

The space group is Pnma (No. 62) and the conventional cell measures 8.258, 17.222 and 6.077 Å, with angles of 90.00, 90.00 and 90.00 degrees. The distinct sites, in fractional coordinates, are Ca at (0.034, 0.109, 0.119), Ca at (0.168, 0.250, 0.640), In at (0.179, 0.750, 0.652), In at (0.183, 0.034, 0.602) and Ag at (0.112, 0.618, 0.390).

---

Entry 2:
Compound: CaIn3Ag2
Source: the Alexandria database
Functional: GGA-PBE
Structure: optimized geometry

As for the raw total energy: -2.815 eV per atom. The calculation puts the energy above the most stable polymorph in this dataset at 60 meV/atom. The mass density comes out at 7.0 g/cm3. The value obtained for the density of states at the Fermi level is 14.62 states/eV/cell. As for the volume: 855.8 Å³ per cell. Its crystal system is trigonal.

The space group is R-3m (No. 166, hexagonal axes) and the conventional cell measures 6.5428, 6.5428 and 23.0843 Å, with angles of 90.00, 90.00 and 120.00 degrees. The distinct sites, in fractional coordinates, are Ca at (0.0000, 0.0000, 0.2159), In at (0.0074, 0.5037, 0.2334), Ag at (0.0000, 0.0000, 0.0000) and Ag at (0.0000, 0.5000, 0.0000).

---

Entry 3:
Compound: Ca2InAg5
Source: the Alexandria database
Functional: GGA-PBE
Structure: optimized geometry

As for the raw total energy: -2.605 eV per atom. The mass density comes out at 5.6 g/cm3. The value obtained for the density of states at the Fermi level is 4.49 states/eV/cell. As for the volume: 216.8 Å³ per cell. Its crystal system is tetragonal.

The space group is P4/mmm (No. 123) and the conventional cell measures 6.498, 6.498 and 5.136 Å, with angles of 90.00, 90.00 and 90.00 degrees. The distinct sites, in fractional coordinates, are Ca at (0.000, 0.500, 0.000), In at (0.000, 0.000, 0.500), Ag at (0.000, 0.000, 0.000) and Ag at (0.292, 0.292, 0.500).

---

Entry 4:
Compound: Ca2InAg
Source: the Alexandria database
Functional: GGA-PBE
Structure: optimized geometry

As for the raw total energy: -2.780 eV per atom. The mass density comes out at 4.6 g/cm3. The value obtained for the density of states at the Fermi level is 2.63 states/eV/cell. As for the volume: 108.7 Å³ per cell. Its crystal system is monoclinic.

The space group is P2/m (No. 10) and the conventional cell measures 3.652, 3.749 and 7.939 Å, with angles of 90.00, 90.14 and 90.00 degrees. The distinct sites, in fractional coordinates, are Ca at (0.000, 0.000, 0.238), In at (0.500, 0.500, 0.500) and Ag at (0.500, 0.500, 0.000).

---

Entry 5:
Compound: Ca3In9Ag2
Source: the Alexandria database
Functional: GGA-PBE
Structure: optimized geometry

As for the raw total energy: -2.881 eV per atom. The mass density comes out at 6.4 g/cm3. The value obtained for the density of states at the Fermi level is 6.06 states/eV/cell. As for the volume: 714.1 Å³ per cell. Its crystal system is orthorhombic.

The space group is Immm (No. 71) and the conventional cell measures 4.868, 10.742 and 13.657 Å, with angles of 90.00, 90.00 and 90.00 degrees. The distinct sites, in fractional coordinates, are Ca at (0.000, 0.000, 0.000), Ca at (0.000, 0.000, 0.293), In at (0.000, 0.286, 0.145), In at (0.000, 0.365, 0.358), In at (0.000, 0.500, 0.000) and Ag at (0.000, 0.159, 0.500).

---

Entry 6:
Compound: CaIn2Ag
Source: the Alexandria database
Functional: GGA-PBE
Structure: optimized geometry

As for the raw total energy: -2.793 eV per atom. The mass density comes out at 6.2 g/cm3. The value obtained for the density of states at the Fermi level is 1.51 states/eV/cell. As for the volume: 101.2 Å³ per cell. Its crystal system is tetragonal.

The space group is P4mm (No. 99) and the conventional cell measures 3.768, 3.768 and 7.128 Å, with angles of 90.00, 90.00 and 90.00 degrees. The distinct sites, in fractional coordinates, are Ca at (0.000, 0.000, 0.000), In at (0.000, 0.000, 0.534), In at (0.500, 0.500, 0.280) and Ag at (0.500, 0.500, 0.742).

---

Entry 7:
Compound: Ca2In3Ag5
Source: the Alexandria database
Functional: GGA-PBE
Structure: optimized geometry

As for the raw total energy: -2.837 eV per atom. The mass density comes out at 6.7 g/cm3. The value obtained for the density of states at the Fermi level is 18.03 states/eV/cell. As for the volume: 958.7 Å³ per cell. Its crystal system is orthorhombic.

The space group is Ibam (No. 72) and the conventional cell measures 12.167, 12.810 and 6.151 Å, with angles of 90.00, 90.00 and 90.00 degrees. The distinct sites, in fractional coordinates, are Ca at (0.123, 0.250, 0.000), In at (0.000, 0.000, 0.250), In at (0.130, 0.362, 0.500), Ag at (0.000, 0.500, 0.250), Ag at (0.123, 0.150, 0.500) and Ag at (0.244, 0.000, 0.250).

---

Entry 8:
Compound: CaIn2Ag
Source: the Alexandria database
Functional: GGA-PBE
Structure: optimized geometry

As for the raw total energy: -2.835 eV per atom. The mass density comes out at 6.5 g/cm3. The value obtained for the density of states at the Fermi level is 2.94 states/eV/cell. As for the volume: 193.6 Å³ per cell. Its crystal system is tetragonal.

The space group is I-4m2 (No. 119) and the conventional cell measures 5.040, 5.040 and 7.622 Å, with angles of 90.00, 90.00 and 90.00 degrees. The distinct sites, in fractional coordinates, are Ca at (0.000, 0.000, 0.000), In at (0.000, 0.000, 0.500), In at (0.000, 0.500, 0.250) and Ag at (0.000, 0.500, 0.750).

---

Entry 9:
Compound: Ca2InAg2
Source: the Alexandria database
Functional: GGA-PBE
Structure: optimized geometry

As for the raw total energy: -2.680 eV per atom. The mass density comes out at 4.9 g/cm3. The value obtained for the density of states at the Fermi level is 7.18 states/eV/cell. As for the volume: 281.0 Å³ per cell. Its crystal system is tetragonal.

The space group is I4/mmm (No. 139) and the conventional cell measures 5.874, 5.874 and 8.144 Å, with angles of 90.00, 90.00 and 90.00 degrees. The distinct sites, in fractional coordinates, are Ca at (0.000, 0.500, 0.250), In at (0.000, 0.000, 0.000) and Ag at (0.000, 0.000, 0.340).

---

Entry 10:
Compound: Ca2In2Ag
Source: the Alexandria database
Functional: GGA-PBE
Structure: optimized geometry

As for the raw total energy: -2.315 eV per atom. The calculation puts the energy above the most stable polymorph in this dataset at 539 meV/atom. The mass density comes out at 4.5 g/cm3. The value obtained for the density of states at the Fermi level is 6.08 states/eV/cell. As for the volume: 308.5 Å³ per cell. Its crystal system is tetragonal.

The space group is I4/mmm (No. 139) and the conventional cell measures 4.672, 4.672 and 14.133 Å, with angles of 90.00, 90.00 and 90.00 degrees. The distinct sites, in fractional coordinates, are Ca at (0.000, 0.500, 0.250), In at (0.000, 0.000, 0.095) and Ag at (0.000, 0.000, 0.500).

---

Entry 11:
Compound: CaIn2Ag6
Source: the Alexandria database
Functional: GGA-PBE
Structure: optimized geometry

As for the raw total energy: -2.475 eV per atom. The calculation puts the energy above the most stable polymorph in this dataset at 294 meV/atom. The mass density comes out at 7.1 g/cm3. The value obtained for the density of states at the Fermi level is 12.35 states/eV/cell. As for the volume: 860.5 Å³ per cell. Its crystal system is cubic.

The space group is Fm-3m (No. 225) and the conventional cell measures 9.512, 9.512 and 9.512 Å, with angles of 90.00, 90.00 and 90.00 degrees. The distinct sites, in fractional coordinates, are Ca at (0.000, 0.000, 0.000), In at (0.250, 0.250, 0.250) and Ag at (0.000, 0.000, 0.292).

---

Entry 12:
Compound: Ca4InAg3
Source: the Alexandria database
Functional: GGA-PBE
Structure: optimized geometry

As for the raw total energy: -2.765 eV per atom. The calculation puts the energy above the most stable polymorph in this dataset at 0 meV/atom. The mass density comes out at 4.7 g/cm3. The value obtained for the density of states at the Fermi level is 15.19 states/eV/cell. As for the volume: 631.2 Å³ per cell. Its crystal system is trigonal.

The space group is R-3m (No. 166, hexagonal axes) and the conventional cell measures 5.3081, 5.3081 and 25.8673 Å, with angles of 90.00, 90.00 and 120.00 degrees. The distinct sites, in fractional coordinates, are Ca at (0.0000, 0.0000, 0.1228), Ca at (0.0000, 0.0000, 0.3732), In at (0.0000, 0.0000, 0.5000), Ag at (0.0000, 0.0000, 0.0000) and Ag at (0.0000, 0.0000, 0.2474).

---

Record order is preserved below.
Formation energy: -358 -162 19 -382 -285 -210 -190 -252 -191 151 257 -352 meV/atom
Record order is preserved below.
Magnetic moment: 0.0 0.0 0.0 0.0 0.0 0.0 0.0 0.0 0.0 0.0 0.0 0.0 Bohr magnetons per cell